[1]
MgOsPb2 (PBE, optimized geometry); density = 11.9 g cm⁻³; total DFT energy (no corrections) = -18.278 eV/f.u.; DOS at the Fermi energy = 0.614 states/eV per atom; total magnetization = 0.00 Bohr magnetons per cell; V = 88.05 Å³ per cell; formation enthalpy at 0 K = 0.49 eV per atom
1.0
4.723 0.000 0.000
0.000 1.788 5.212
0.000 -1.788 5.212
Mg Os Pb
1 1 2
Cartesian
0.000 0.000 0.000
2.362 0.000 1.360
0.000 0.000 7.540
2.362 0.000 4.305

[2]
KZnIn2Te (PBE, optimized geometry); density = 4.7 g cm⁻³; total DFT energy (no corrections) = -11.240 eV/f.u.; DOS at the Fermi energy = 0.388 states/eV per atom; total magnetization = 0.00 Bohr magnetons per cell; V = 164.60 Å³ per cell; energy relative to the elements, uncorrected = -0.05 eV/atom
1.0
5.261 0.000 0.000
0.000 5.261 0.000
0.000 0.000 5.947
K Zn In Te
1 1 2 1
Cartesian
0.000 0.000 0.000
0.000 0.000 2.973
0.000 2.631 2.973
2.631 0.000 2.973
2.631 2.631 0.000

[3]
TaCoSi (PBE, optimized geometry); density = 10.5 g cm⁻³; total DFT energy (no corrections) = -24.491 eV/f.u.; DOS at the Fermi energy = 0.945 states/eV per atom; total magnetization = 0.36 Bohr magnetons per cell; V = 42.21 Å³ per cell; energy relative to the elements, uncorrected = -0.04 eV/atom
1.0
2.815 0.000 0.000
-1.408 2.438 0.000
0.000 0.000 6.148
Ta Co Si
1 1 1
Cartesian
0.000 0.000 0.000
1.408 0.813 2.147
0.000 1.626 3.880

[4]
Tm2InNi (PBE, optimized geometry); density = 7.3 g cm⁻³; total DFT energy (no corrections) = -17.785 eV/f.u.; DOS at the Fermi energy = 0.910 states/eV per atom; total magnetization = 0.00 Bohr magnetons per cell; V = 115.87 Å³ per cell; energy relative to the lowest polymorph listed for this composition = 378 meV per atom; formation enthalpy at 0 K = -0.08 eV per atom
1.0
1.890 1.091 9.366
-1.890 1.091 9.366
0.000 -2.182 9.366
Tm In Ni
2 1 1
Cartesian
0.000 0.000 3.211
0.000 0.000 24.887
0.000 0.000 0.000
0.000 0.000 14.049

[5]
Cd4HgBi (PBE, optimized geometry); density = 8.3 g cm⁻³; total DFT energy (no corrections) = -7.593 eV/f.u.; DOS at the Fermi energy = 0.447 states/eV per atom; total magnetization = 0.00 Bohr magnetons per cell; V = 171.76 Å³ per cell; energy relative to the lowest polymorph listed for this composition = 0 meV per atom; formation enthalpy at 0 K = 0.04 eV per atom
1.0
4.837 0.000 0.000
0.000 4.837 0.000
0.000 0.000 7.342
Cd Hg Bi
4 1 1
Cartesian
0.000 2.418 1.691
0.000 2.418 5.651
2.418 0.000 1.691
2.418 0.000 5.651
0.000 0.000 0.000
2.418 2.418 3.671

[6]
CuNi3Pt3 (PBE, optimized geometry); density = 14.0 g cm⁻³; total DFT energy (no corrections) = -38.829 eV/f.u.; DOS at the Fermi energy = 1.538 states/eV per atom; total magnetization = 12.62 Bohr magnetons per cell; V = 390.31 Å³ per cell; energy relative to the lowest polymorph listed for this composition = 0 meV per atom; formation enthalpy at 0 K = 0.10 eV per atom
1.0
7.308 0.000 0.000
0.000 7.308 0.000
0.000 0.000 7.308
Cu Ni Pt
4 12 12
Cartesian
1.097 2.557 4.751
2.557 4.751 1.097
4.751 1.097 2.557
6.211 6.211 6.211
0.233 3.887 7.075
1.103 1.103 1.103
1.185 6.123 2.469
2.469 1.185 6.123
2.552 6.206 4.757
3.421 3.421 3.421
3.887 7.075 0.233
4.757 2.552 6.206
4.839 4.839 4.839
6.123 2.469 1.185
6.206 4.757 2.552
7.075 0.233 3.887
0.341 4.974 4.615
0.961 3.313 2.334
1.320 6.347 6.967
2.334 0.961 3.313
2.693 3.996 5.988
3.313 2.334 0.961
3.996 5.988 2.693
4.615 0.341 4.974
4.974 4.615 0.341
5.988 2.693 3.996
6.347 6.967 1.320
6.967 1.320 6.347

Question: total DFT energy (no corrections) of number 4 (Tm2InNi)?
Answer: -17.785 eV/f.u.

Question: total magnetization of number 4 (Tm2InNi)?
Answer: 0.00 Bohr magnetons per cell

Question: What is the formula in the second record?
Answer: KZnIn2Te